Entry from Alexandria: YMgCu17 after structural relaxation (PBE-GGA).

abc: 6.4183 6.4183 6.4183
angles: 82.75 82.75 82.75
Closest atoms and distances in Å follow each position.
Positions (direct):
Cu (0.9961, 0.5015, 0.9961)  10 Cu 2.44-2.60
Cu (0.5015, 0.9961, 0.9961)  10 Cu 2.44-2.60
Cu (0.8523, 0.3445, 0.3445)  9 Cu 2.45-2.60
Y (0.6593, 0.6593, 0.6593)  19 Cu 3.00-3.23
Cu (0.3445, 0.3445, 0.8523)  9 Cu 2.45-2.60
Cu (0.3445, 0.8523, 0.3445)  9 Cu 2.45-2.60
Cu (0.6987, 0.0023, 0.2975)  8 Cu 2.44-2.59
Cu (0.2975, 0.0023, 0.6987)  8 Cu 2.44-2.59
Cu (0.6504, 0.6504, 0.1600)  9 Cu 2.46-2.71
Cu (0.1013, 0.1013, 0.1013)  7 Cu 2.45-2.60
Cu (0.9961, 0.9961, 0.5015)  10 Cu 2.44-2.60
Mg (0.3421, 0.3421, 0.3421)  19 Cu 2.97-3.32
Cu (0.0023, 0.6987, 0.2975)  8 Cu 2.44-2.59
Cu (0.0023, 0.2975, 0.6987)  8 Cu 2.44-2.59
Cu (0.6504, 0.1600, 0.6504)  9 Cu 2.46-2.71
Cu (0.6987, 0.2975, 0.0023)  8 Cu 2.44-2.59
Cu (0.1600, 0.6504, 0.6504)  9 Cu 2.46-2.71
Cu (0.2975, 0.6987, 0.0023)  8 Cu 2.44-2.59
Cu (0.9045, 0.9045, 0.9045)  7 Cu 2.45-2.71

Computed properties:
Uncorrected energy ... -78.69 eV/f.u.

=====

Entry from Alexandria: Y2MgCu2 after structural relaxation (PBE-GGA).

abc: 5.2902 5.2902 8.6213
angles: 90.00 90.00 90.00
Closest atoms and distances in Å follow each position.
Positions (direct):
Cu (0.5000, 0.0000, 0.9730)  5 Y 2.66-2.81, 1 Mg 2.71
Y (0.5000, 0.5000, 0.0000)  4 Cu 2.66
Cu (0.5000, 0.5000, 0.5000)  4 Y 2.93, 4 Mg 3.22
Cu (0.0000, 0.5000, 0.0270)  5 Y 2.66-2.81, 1 Mg 2.71
Cu (0.0000, 0.0000, 0.5000)  4 Y 2.93, 4 Mg 3.22
Y (0.0000, 0.0000, 0.0000)  4 Cu 2.66
Y (0.5000, 0.0000, 0.6472)  5 Cu 2.81-2.93, 1 Mg 3.10
Mg (0.0000, 0.5000, 0.7126)  1 Cu 2.71
Y (0.0000, 0.5000, 0.3528)  5 Cu 2.81-2.93, 1 Mg 3.10
Mg (0.5000, 0.0000, 0.2874)  1 Cu 2.71

Computed properties:
Relative energy among the computed polymorphs ... 1.40 eV per formula unit

=====

Entry from Alexandria: Y3Mg2Cu after structural relaxation (PBE-GGA).

abc: 7.1215 7.1215 6.1474
angles: 90.00 90.00 80.16
Closest atoms and distances in Å follow each position.
Positions (direct):
Y (0.0540, 0.4059, 0.2500)  1 Cu 3.05, 3 Y 3.23-3.39, 4 Mg 3.30-3.32
Mg (0.3395, 0.6605, 0.5000)  2 Cu 2.79, 3 Mg 2.94-3.07
Cu (0.3343, 0.3343, 0.7500)  3 Y 2.77-3.05, 4 Mg 2.79
Y (0.0803, 0.0803, 0.7500)  1 Cu 2.77
Y (0.4059, 0.0540, 0.2500)  1 Cu 3.05, 3 Y 3.23-3.39, 4 Mg 3.30-3.32
Mg (0.3395, 0.6605, 0.0000)  2 Cu 2.79, 3 Mg 2.94-3.07
Mg (0.6605, 0.3395, 0.5000)  2 Cu 2.79, 3 Mg 2.94-3.07
Y (0.9197, 0.9197, 0.2500)  1 Cu 2.77
Mg (0.6605, 0.3395, 0.0000)  2 Cu 2.79, 3 Mg 2.94-3.07
Y (0.5941, 0.9460, 0.7500)  1 Cu 3.05, 3 Y 3.23-3.39, 4 Mg 3.30-3.32
Y (0.9460, 0.5941, 0.7500)  1 Cu 3.05, 3 Y 3.23-3.39, 4 Mg 3.30-3.32
Cu (0.6657, 0.6657, 0.2500)  3 Y 2.77-3.05, 4 Mg 2.79

Computed properties:
Relative energy among the computed polymorphs ... 0.00 eV per formula unit

=====

Entry from Alexandria: Y2MgCu after structural relaxation (PBE-GGA).

abc: 5.1209 5.1209 5.1209
angles: 60.00 60.00 60.00
Closest atoms and distances in Å follow each position.
Positions (direct):
Mg (0.7500, 0.7500, 0.7500)  4 Cu 3.14, 4 Y 3.14
Cu (0.5000, 0.5000, 0.5000)  4 Mg 3.14, 4 Y 3.14
Y (0.0000, 0.0000, 0.0000)  4 Y 3.14, 4 Mg 3.14
Y (0.2500, 0.2500, 0.2500)  4 Cu 3.14, 4 Y 3.14

Computed properties:
Uncorrected energy ... -17.86 eV/f.u.

=====

Entry from Alexandria: Y2MgCu4 after structural relaxation (PBE-GGA).

abc: 5.7610 5.7610 5.7610
angles: 113.63 113.63 101.43
Closest atoms and distances in Å follow each position.
Positions (direct):
Cu (0.3092, 0.3092, 0.6184)  2 Cu 2.41
Cu (0.3092, 0.6908, 0.0000)  2 Cu 2.41
Cu (0.6908, 0.3092, 0.0000)  2 Cu 2.41
Y (0.7500, 0.2500, 0.5000)  8 Cu 2.93
Cu (0.6908, 0.6908, 0.3816)  2 Cu 2.41
Y (0.2500, 0.7500, 0.5000)  8 Cu 2.93
Mg (0.0000, 0.0000, 0.0000)  4 Cu 2.76

Computed properties:
Relative energy among the computed polymorphs ... 0.96 eV per formula unit

=====

Entry from Alexandria: YMg7Cu5 after structural relaxation (PBE-GGA).

abc: 5.3210 7.1221 7.1221
angles: 81.85 68.06 68.06
Closest atoms and distances in Å follow each position.
Positions (direct):
Cu (0.7203, 0.7797, 0.7797)  4 Cu 2.65, 6 Mg 2.76-2.93
Mg (0.6690, 0.3310, 0.3310)  5 Mg 2.84-3.17, 4 Cu 2.85
Y (0.0237, 0.9763, 0.9763)  8 Mg 3.06-3.32, 6 Cu 3.23-3.33
Mg (0.5049, 0.7925, 0.1977)  5 Cu 2.65-2.80, 1 Mg 2.85
Cu (0.4892, 0.9974, 0.5126)  3 Cu 2.60-2.72, 6 Mg 2.65-2.85
Mg (0.9849, 0.6720, 0.3582)  5 Cu 2.74-2.91, 3 Mg 2.93-2.97
Mg (0.9849, 0.3582, 0.6720)  5 Cu 2.74-2.91, 3 Mg 2.93-2.97
Cu (0.0009, 0.5126, 0.9974)  3 Cu 2.60-2.72, 6 Mg 2.65-2.85
Mg (0.5049, 0.1977, 0.7925)  5 Cu 2.65-2.80, 1 Mg 2.85
Cu (0.0009, 0.9974, 0.5126)  3 Cu 2.60-2.72, 6 Mg 2.65-2.85
Mg (0.2764, 0.2236, 0.2236)  4 Cu 2.75, 4 Mg 2.84-2.85
Mg (0.3508, 0.6492, 0.6492)  6 Cu 2.79-2.93, 1 Mg 2.98, 1 Y 3.06
Cu (0.4892, 0.5126, 0.9974)  3 Cu 2.60-2.72, 6 Mg 2.65-2.85

Computed properties:
Uncorrected energy ... -39.53 eV/f.u.

=====

Entry from Alexandria: Y2MgCu3 after structural relaxation (PBE-GGA).

abc: 4.7986 4.7986 11.7027
angles: 90.00 90.00 120.00
Closest atoms and distances in Å follow each position.
Positions (direct):
Y (0.0000, 0.0000, 0.5000)  8 Cu 2.89-2.91
Cu (0.3333, 0.6667, 0.9171)  7 Y 2.94-3.08, 1 Mg 2.97
Cu (0.3333, 0.6667, 0.4251)  4 Mg 2.79-2.96, 4 Y 2.86-2.91
Cu (0.0000, 0.0000, 0.2535)  5 Y 2.89-2.97, 3 Mg 2.94
Mg (0.3333, 0.6667, 0.6635)  8 Cu 2.79-2.97
Y (0.6667, 0.3333, 0.8197)  8 Cu 2.86-3.08
Cu (0.6667, 0.3333, 0.5749)  4 Mg 2.79-2.96, 4 Y 2.86-2.91
Cu (0.0000, 0.0000, 0.7465)  5 Y 2.89-2.97, 3 Mg 2.94
Cu (0.6667, 0.3333, 0.0829)  7 Y 2.94-3.08, 1 Mg 2.97
Y (0.3333, 0.6667, 0.1803)  8 Cu 2.86-3.08
Mg (0.6667, 0.3333, 0.3365)  8 Cu 2.79-2.97
Y (0.0000, 0.0000, 0.0000)  8 Cu 2.94-2.97

Computed properties:
Relative energy among the computed polymorphs ... 0.00 eV per formula unit

=====

Entry from Alexandria: Y2MgCu3 after structural relaxation (PBE-GGA).

abc: 6.3951 6.3951 6.8630
angles: 90.00 90.00 110.67
Closest atoms and distances in Å follow each position.
Positions (direct):
Cu (0.5834, 0.8123, 0.7500)  2 Cu 2.41-2.44
Y (0.7809, 0.2191, 0.5000)  6 Cu 2.84-3.00
Cu (0.1877, 0.4166, 0.2500)  2 Cu 2.41-2.44
Mg (0.6497, 0.6497, 0.2500)  3 Cu 2.62-2.80
Y (0.7809, 0.2191, 0.0000)  6 Cu 2.84-3.00
Mg (0.3503, 0.3503, 0.7500)  3 Cu 2.62-2.80
Cu (0.0105, 0.0105, 0.2500)  2 Cu 2.44, 1 Mg 2.62
Cu (0.4166, 0.1877, 0.2500)  2 Cu 2.41-2.44
Cu (0.8123, 0.5834, 0.7500)  2 Cu 2.41-2.44
Y (0.2191, 0.7809, 0.5000)  6 Cu 2.84-3.00
Cu (0.9895, 0.9895, 0.7500)  2 Cu 2.44, 1 Mg 2.62
Y (0.2191, 0.7809, 0.0000)  6 Cu 2.84-3.00

Computed properties:
Relative energy among the computed polymorphs ... 1.08 eV per formula unit

=====

no.,DOS(E_F) (states/eV/cell)
1,8.16
2,9.89
3,12.58
4,4.37
5,4.78
6,6.84
7,6.90
8,6.99